[1]
Computed, not measured: crystalline SiBO at its relaxed geometry at the PBE-GGA level of DFT.

Cell: 3.9708 2.9447 5.8789 Å, 90.00 101.88 90.00°
Last column: nearest neighbours and their distance in Å.
Sites, in units of the cell vectors:
1 Si 0.0000 0.0000 0.0000  1 O 1.66
2 Si 0.4290 0.0000 0.5089  3 O 1.64-1.69
3 B 0.4239 0.0000 0.8549  2 B 1.70
4 B 0.6380 0.5000 0.9105  2 B 1.70
5 O 0.1010 0.0000 0.2877  2 Si 1.64-1.66
6 O 0.6240 0.5000 0.4748  2 Si 1.69

Values from the calculation:
Its density is 2.7 g/cm3. For the density of states at the Fermi level, the calculation gives 0.04 states/eV/f.u. As for the space-group type: Pm.

[2]
Computed, not measured: crystalline Y3CdIn2 at its relaxed geometry at the PBE-GGA level of DFT.

Cell: 5.3233 5.3233 12.9961 Å, 90.00 90.00 120.00°
Last column: nearest neighbours and their distance in Å.
Sites, in units of the cell vectors:
1 Y 0.0000 0.0000 0.2496  5 In 3.24-3.25, 3 Cd 3.25
2 Y 0.0000 0.0000 0.7504  5 In 3.24-3.25, 3 Cd 3.25
3 Y 0.3333 0.6667 0.4170  1 Cd 3.24, 7 In 3.26-3.30
4 Y 0.3333 0.6667 0.9177  4 In 3.20-3.25, 4 Cd 3.25-3.27
5 Y 0.6667 0.3333 0.0823  4 In 3.20-3.25, 4 Cd 3.25-3.27
6 Y 0.6667 0.3333 0.5830  1 Cd 3.24, 7 In 3.26-3.30
7 Cd 0.3333 0.6667 0.1679  8 Y 3.24-3.27
8 Cd 0.6667 0.3333 0.8321  8 Y 3.24-3.27
9 In 0.0000 0.0000 0.0000  8 Y 3.24-3.25
10 In 0.0000 0.0000 0.5000  8 Y 3.25-3.26
11 In 0.3333 0.6667 0.6712  8 Y 3.20-3.30
12 In 0.6667 0.3333 0.3288  8 Y 3.20-3.30

Values from the calculation:
Its density is 6.3 g/cm3. For the density of states at the Fermi level, the calculation gives 4.48 states/eV/f.u. As for the space-group type: P-3m1. The energy of formation comes out at -0.467 eV/atom.

[3]
Computed, not measured: crystalline NdGa2Ir at its relaxed geometry at the PBE-GGA level of DFT.

Cell: 4.2515 4.2515 15.6117 Å, 90.00 90.00 120.00°
Last column: nearest neighbours and their distance in Å.
Sites, in units of the cell vectors:
1 Nd 0.0000 0.0000 0.0000  8 Ga 3.08-3.34
2 Nd 0.3333 0.6667 0.6667  8 Ga 3.08-3.34
3 Nd 0.6667 0.3333 0.3333  8 Ga 3.08-3.34
4 Ga 0.0000 0.0000 0.2138  3 Ir 2.56, 3 Ga 2.86
5 Ga 0.0000 0.0000 0.7862  3 Ir 2.56, 3 Ga 2.86
6 Ga 0.3333 0.6667 0.4529  3 Ir 2.56, 3 Ga 2.86
7 Ga 0.3333 0.6667 0.8805  3 Ir 2.56, 3 Ga 2.86
8 Ga 0.6667 0.3333 0.1195  3 Ir 2.56, 3 Ga 2.86
9 Ga 0.6667 0.3333 0.5471  3 Ir 2.56, 3 Ga 2.86
10 Ir 0.0000 0.0000 0.5000  6 Ga 2.56
11 Ir 0.3333 0.6667 0.1667  6 Ga 2.56
12 Ir 0.6667 0.3333 0.8333  6 Ga 2.56

Values from the calculation:
Its density is 9.7 g/cm3. For the density of states at the Fermi level, the calculation gives 2.66 states/eV/f.u. As for the space-group type: R-3m. The energy of formation comes out at -0.663 eV/atom.

[4]
Computed, not measured: crystalline Na2Ag2Hg at its relaxed geometry at the PBE-GGA level of DFT.

Cell: 4.4066 4.4066 13.4826 Å, 90.00 90.00 90.00°
Last column: nearest neighbours and their distance in Å.
Sites, in units of the cell vectors:
1 Na 0.0000 0.5000 0.2500  4 Ag 2.99, 4 Na 3.12
2 Na 0.0000 0.5000 0.7500  4 Ag 2.99, 4 Na 3.12
3 Na 0.5000 0.0000 0.2500  4 Ag 2.99, 4 Na 3.12
4 Na 0.5000 0.0000 0.7500  4 Ag 2.99, 4 Na 3.12
5 Ag 0.0000 0.0000 0.0997  1 Ag 2.69, 4 Na 2.99
6 Ag 0.0000 0.0000 0.9003  1 Ag 2.69, 4 Na 2.99
7 Ag 0.5000 0.5000 0.4003  1 Ag 2.69, 4 Na 2.99
8 Ag 0.5000 0.5000 0.5997  1 Ag 2.69, 4 Na 2.99
9 Hg 0.0000 0.0000 0.5000  8 Ag 3.39
10 Hg 0.5000 0.5000 0.0000  8 Ag 3.39

Values from the calculation:
Its density is 5.9 g/cm3. For the density of states at the Fermi level, the calculation gives 0.80 states/eV/f.u. As for the space-group type: I4/mmm. The energy of formation comes out at 0.161 eV/atom.

[5]
Computed, not measured: crystalline YFe3Ge at its relaxed geometry at the PBE-GGA level of DFT.

Cell: 4.5564 4.5564 4.5564 Å, 90.00 90.00 90.00°
Last column: nearest neighbours and their distance in Å.
Sites, in units of the cell vectors:
1 Y 0.0000 0.0000 0.0000  12 Fe 3.22
2 Fe 0.0000 0.5000 0.5000  2 Ge 2.28
3 Fe 0.5000 0.0000 0.5000  2 Ge 2.28
4 Fe 0.5000 0.5000 0.0000  2 Ge 2.28
5 Ge 0.5000 0.5000 0.5000  6 Fe 2.28

Values from the calculation:
Its density is 5.8 g/cm3. For the density of states at the Fermi level, the calculation gives 6.68 states/eV/f.u. As for the space-group type: Pm-3m. The energy of formation comes out at 0.380 eV/atom.

[6]
Computed, not measured: crystalline Rb4Sc2Sb at its relaxed geometry at the PBE-GGA level of DFT.

Cell: 7.2306 7.2306 18.1566 Å, 90.00 90.00 90.00°
Last column: nearest neighbours and their distance in Å.
Sites, in units of the cell vectors:
1 Rb 0.0000 0.0000 0.1924  1 Sb 3.49
2 Rb 0.0000 0.0000 0.8076  1 Sb 3.49
3 Rb 0.0000 0.5000 0.0000  2 Sb 3.62, 4 Sc 3.87
4 Rb 0.0000 0.5000 0.5000  2 Sb 3.62, 4 Sc 3.87
5 Rb 0.5000 0.0000 0.0000  2 Sb 3.62, 4 Sc 3.87
6 Rb 0.5000 0.0000 0.5000  2 Sb 3.62, 4 Sc 3.87
7 Rb 0.5000 0.5000 0.3076  1 Sb 3.49
8 Rb 0.5000 0.5000 0.6924  1 Sb 3.49
9 Sc 0.0000 0.0000 0.4238  1 Sc 2.77
10 Sc 0.0000 0.0000 0.5762  1 Sc 2.77
11 Sc 0.5000 0.5000 0.0762  1 Sc 2.77
12 Sc 0.5000 0.5000 0.9238  1 Sc 2.77
13 Sb 0.0000 0.0000 0.0000  6 Rb 3.49-3.62
14 Sb 0.5000 0.5000 0.5000  6 Rb 3.49-3.62

Values from the calculation:
Its density is 1.9 g/cm3. For the density of states at the Fermi level, the calculation gives 4.97 states/eV/f.u. As for the space-group type: I4/mmm.

Quick rundown of calculated total energy, same order as above: -39.93; -57.17; -67.00; -15.67; -34.57; -32.70 eV for the cell shown